Arrangement w

Density functional theory data (GGA-PBEsol) for a relaxed structure of AlCuSb2.

CIF file:
```
data_AlCuSb2
_chemical_formula_sum 'Al1 Cu1 Sb2'
_cell_length_a 3.248
_cell_length_b 3.248
_cell_length_c 7.663
_cell_angle_alpha 90.00
_cell_angle_beta 90.00
_cell_angle_gamma 90.00
_space_group_name_H-M_alt 'P 1'
_space_group_IT_number 1
loop_
_space_group_symop_operation_xyz
'x,y,z'
loop_
_atom_site_label
_atom_site_type_symbol
_atom_site_fract_x
_atom_site_fract_y
_atom_site_fract_z
_atom_site_occupancy
Sb1 Sb 0.000 0.000 0.273 1
Al1 Al 0.500 0.500 0.000 1
Cu1 Cu 0.500 0.500 0.500 1
Sb2 Sb 0.000 0.000 0.727 1
```

=====

Arrangement x

Density functional theory data (GGA-PBEsol) for a relaxed structure of AlCuSb2.

CIF file:
```
data_AlCuSb2
_chemical_formula_sum 'Al1 Cu1 Sb2'
_cell_length_a 3.443
_cell_length_b 3.443
_cell_length_c 7.242
_cell_angle_alpha 90.00
_cell_angle_beta 90.00
_cell_angle_gamma 90.00
_space_group_name_H-M_alt 'P 1'
_space_group_IT_number 1
loop_
_space_group_symop_operation_xyz
'x,y,z'
loop_
_atom_site_label
_atom_site_type_symbol
_atom_site_fract_x
_atom_site_fract_y
_atom_site_fract_z
_atom_site_occupancy
Sb1 Sb 0.000 0.000 0.914 1
Al1 Al 0.000 0.000 0.541 1
Cu1 Cu 0.500 0.500 0.710 1
Sb2 Sb 0.500 0.500 0.336 1
```

=====

Calculated relative energies: arrangement w 143; arrangement x 0, given in meV per atom

=====

Arrangement w

Density functional theory data (GGA-PBEsol) for a relaxed structure of Al2CuTc.

CIF file:
```
data_Al2CuTc
_chemical_formula_sum 'Al2 Cu1 Tc1'
_cell_length_a 3.086
_cell_length_b 3.086
_cell_length_c 5.646
_cell_angle_alpha 90.00
_cell_angle_beta 90.00
_cell_angle_gamma 90.00
_space_group_name_H-M_alt 'P 1'
_space_group_IT_number 1
loop_
_space_group_symop_operation_xyz
'x,y,z'
loop_
_atom_site_label
_atom_site_type_symbol
_atom_site_fract_x
_atom_site_fract_y
_atom_site_fract_z
_atom_site_occupancy
Al1 Al 0.000 0.000 0.258 1
Al2 Al 0.000 0.000 0.742 1
Tc1 Tc 0.500 0.500 0.500 1
Cu1 Cu 0.500 0.500 0.000 1
```

=====

Arrangement x

Density functional theory data (GGA-PBEsol) for a relaxed structure of Al2CuTc.

CIF file:
```
data_Al2CuTc
_chemical_formula_sum 'Al2 Cu1 Tc1'
_cell_length_a 4.068
_cell_length_b 3.189
_cell_length_c 4.068
_cell_angle_alpha 90.00
_cell_angle_beta 90.00
_cell_angle_gamma 90.00
_space_group_name_H-M_alt 'P 1'
_space_group_IT_number 1
loop_
_space_group_symop_operation_xyz
'x,y,z'
loop_
_atom_site_label
_atom_site_type_symbol
_atom_site_fract_x
_atom_site_fract_y
_atom_site_fract_z
_atom_site_occupancy
Al1 Al 0.000 0.125 0.875 1
Tc1 Tc 0.500 0.625 0.875 1
Cu1 Cu 0.000 0.625 0.375 1
Al2 Al 0.500 0.125 0.375 1
```

=====

Arrangement y

Density functional theory data (GGA-PBEsol) for a relaxed structure of Al2CuTc.

CIF file:
```
data_Al2CuTc
_chemical_formula_sum 'Al2 Cu1 Tc1'
_cell_length_a 3.551
_cell_length_b 3.548
_cell_length_c 4.916
_cell_angle_alpha 111.16
_cell_angle_beta 111.17
_cell_angle_gamma 90.00
_space_group_name_H-M_alt 'P 1'
_space_group_IT_number 1
loop_
_space_group_symop_operation_xyz
'x,y,z'
loop_
_atom_site_label
_atom_site_type_symbol
_atom_site_fract_x
_atom_site_fract_y
_atom_site_fract_z
_atom_site_occupancy
Cu1 Cu 0.500 0.500 0.000 1
Al1 Al 0.750 0.250 0.500 1
Al2 Al 0.000 0.000 0.000 1
Tc1 Tc 0.250 0.750 0.500 1
```

=====

Calculated relative energies: arrangement w 74; arrangement x 0; arrangement y 63, given in meV per atom

=====

Arrangement w

Density functional theory data (GGA-PBEsol) for a relaxed structure of Al2CuTc.

CIF file:
```
data_Al2CuTc
_chemical_formula_sum 'Al2 Cu1 Tc1'
_cell_length_a 2.768
_cell_length_b 2.768
_cell_length_c 8.600
_cell_angle_alpha 80.74
_cell_angle_beta 80.74
_cell_angle_gamma 60.00
_space_group_name_H-M_alt 'P 1'
_space_group_IT_number 1
loop_
_space_group_symop_operation_xyz
'x,y,z'
loop_
_atom_site_label
_atom_site_type_symbol
_atom_site_fract_x
_atom_site_fract_y
_atom_site_fract_z
_atom_site_occupancy
Al1 Al 0.997 0.997 0.008 1
Al2 Al 0.755 0.755 0.735 1
Tc1 Tc 0.249 0.249 0.254 1
Cu1 Cu 0.499 0.499 0.503 1
```

=====

Arrangement x

Density functional theory data (GGA-PBEsol) for a relaxed structure of Al2CuTc.

CIF file:
```
data_Al2CuTc
_chemical_formula_sum 'Al2 Cu1 Tc1'
_cell_length_a 2.769
_cell_length_b 2.769
_cell_length_c 8.482
_cell_angle_alpha 80.61
_cell_angle_beta 80.61
_cell_angle_gamma 60.00
_space_group_name_H-M_alt 'P 1'
_space_group_IT_number 1
loop_
_space_group_symop_operation_xyz
'x,y,z'
loop_
_atom_site_label
_atom_site_type_symbol
_atom_site_fract_x
_atom_site_fract_y
_atom_site_fract_z
_atom_site_occupancy
Al1 Al 0.751 0.751 0.746 1
Al2 Al 0.249 0.249 0.254 1
Cu1 Cu 0.500 0.500 0.500 1
Tc1 Tc 0.000 0.000 0.000 1
```

=====

Calculated relative energies: arrangement w 146; arrangement x 0, given in meV per atom

=====

Arrangement w

Density functional theory data (GGA-PBEsol) for a relaxed structure of Al2TlCu.

CIF file:
```
data_Al2TlCu
_chemical_formula_sum 'Al2 Tl1 Cu1'
_cell_length_a 4.118
_cell_length_b 4.118
_cell_length_c 5.044
_cell_angle_alpha 114.09
_cell_angle_beta 114.09
_cell_angle_gamma 90.00
_space_group_name_H-M_alt 'P 1'
_space_group_IT_number 1
loop_
_space_group_symop_operation_xyz
'x,y,z'
loop_
_atom_site_label
_atom_site_type_symbol
_atom_site_fract_x
_atom_site_fract_y
_atom_site_fract_z
_atom_site_occupancy
Cu1 Cu 0.500 0.500 0.000 1
Al1 Al 0.000 0.000 0.000 1
Tl1 Tl 0.250 0.750 0.500 1
Al2 Al 0.750 0.250 0.500 1
```

=====

Arrangement x

Density functional theory data (GGA-PBEsol) for a relaxed structure of Al2TlCu.

CIF file:
```
data_Al2TlCu
_chemical_formula_sum 'Al2 Tl1 Cu1'
_cell_length_a 2.990
_cell_length_b 2.990
_cell_length_c 8.101
_cell_angle_alpha 90.00
_cell_angle_beta 100.24
_cell_angle_gamma 90.00
_space_group_name_H-M_alt 'P 1'
_space_group_IT_number 1
loop_
_space_group_symop_operation_xyz
'x,y,z'
loop_
_atom_site_label
_atom_site_type_symbol
_atom_site_fract_x
_atom_site_fract_y
_atom_site_fract_z
_atom_site_occupancy
Al1 Al 0.454 0.500 0.282 1
Cu1 Cu 0.040 0.000 0.458 1
Tl1 Tl 0.669 0.500 0.715 1
Al2 Al 0.837 0.000 0.045 1
```

=====

Calculated relative energies: arrangement w 140; arrangement x 0, given in meV per atom

=====

Arrangement w

Density functional theory data (GGA-PBEsol) for a relaxed structure of AlTlCu3.

CIF file:
```
data_AlTlCu3
_chemical_formula_sum 'Al1 Tl1 Cu3'
_cell_length_a 4.791
_cell_length_b 4.791
_cell_length_c 4.791
_cell_angle_alpha 90.00
_cell_angle_beta 90.00
_cell_angle_gamma 90.00
_space_group_name_H-M_alt 'P 1'
_space_group_IT_number 1
loop_
_space_group_symop_operation_xyz
'x,y,z'
loop_
_atom_site_label
_atom_site_type_symbol
_atom_site_fract_x
_atom_site_fract_y
_atom_site_fract_z
_atom_site_occupancy
Cu1 Cu 0.000 0.500 0.000 1
Al1 Al 0.500 0.500 0.500 1
Tl1 Tl 0.000 0.000 0.000 1
Cu2 Cu 0.000 0.000 0.500 1
Cu3 Cu 0.500 0.000 0.000 1
```

=====

Arrangement x

Density functional theory data (GGA-PBEsol) for a relaxed structure of AlTlCu3.

CIF file:
```
data_AlTlCu3
_chemical_formula_sum 'Al1 Tl1 Cu3'
_cell_length_a 4.535
_cell_length_b 4.535
_cell_length_c 4.535
_cell_angle_alpha 90.00
_cell_angle_beta 90.00
_cell_angle_gamma 90.00
_space_group_name_H-M_alt 'P 1'
_space_group_IT_number 1
loop_
_space_group_symop_operation_xyz
'x,y,z'
loop_
_atom_site_label
_atom_site_type_symbol
_atom_site_fract_x
_atom_site_fract_y
_atom_site_fract_z
_atom_site_occupancy
Cu1 Cu 0.500 0.000 0.000 1
Cu2 Cu 0.000 0.500 0.000 1
Cu3 Cu 0.000 0.000 0.500 1
Tl1 Tl 0.500 0.500 0.500 1
Al1 Al 0.000 0.000 0.000 1
```

=====

Calculated relative energies: arrangement w 464; arrangement x 0, given in meV per atom

=====

Arrangement w

Density functional theory data (GGA-PBEsol) for a relaxed structure of GdErAl6.

CIF file:
```
data_GdErAl6
_chemical_formula_sum 'Gd2 Er2 Al12'
_cell_length_a 6.053
_cell_length_b 6.053
_cell_length_c 9.448
_cell_angle_alpha 90.00
_cell_angle_beta 90.00
_cell_angle_gamma 120.00
_space_group_name_H-M_alt 'P 1'
_space_group_IT_number 1
loop_
_space_group_symop_operation_xyz
'x,y,z'
loop_
_atom_site_label
_atom_site_type_symbol
_atom_site_fract_x
_atom_site_fract_y
_atom_site_fract_z
_atom_site_occupancy
Er1 Er 0.333 0.667 0.750 1
Al1 Al 0.000 0.500 0.000 1
Al2 Al 0.818 0.182 0.750 1
Al3 Al 0.363 0.182 0.750 1
Al4 Al 0.182 0.363 0.250 1
Gd1 Gd 0.000 0.000 0.000 1
Al5 Al 0.000 0.500 0.500 1
Al6 Al 0.182 0.818 0.250 1
Er2 Er 0.667 0.333 0.250 1
Al7 Al 0.500 0.500 0.500 1
Al8 Al 0.500 0.000 0.500 1
Al9 Al 0.637 0.818 0.250 1
Gd2 Gd 0.000 0.000 0.500 1
Al10 Al 0.500 0.000 0.000 1
Al11 Al 0.500 0.500 0.000 1
Al12 Al 0.818 0.637 0.750 1
```

=====

Arrangement x

Density functional theory data (GGA-PBEsol) for a relaxed structure of GdErAl6.

CIF file:
```
data_GdErAl6
_chemical_formula_sum 'Gd3 Er3 Al18'
_cell_length_a 6.088
_cell_length_b 6.088
_cell_length_c 14.507
_cell_angle_alpha 77.89
_cell_angle_beta 77.89
_cell_angle_gamma 60.00
_space_group_name_H-M_alt 'P 1'
_space_group_IT_number 1
loop_
_space_group_symop_operation_xyz
'x,y,z'
loop_
_atom_site_label
_atom_site_type_symbol
_atom_site_fract_x
_atom_site_fract_y
_atom_site_fract_z
_atom_site_occupancy
Al1 Al 0.998 0.499 0.505 1
Er1 Er 0.499 0.499 0.504 1
Al2 Al 0.000 0.498 0.003 1
Al3 Al 0.498 0.000 0.003 1
Al4 Al 0.127 0.577 0.169 1
Al5 Al 0.077 0.626 0.670 1
Al6 Al 0.998 0.998 0.505 1
Al7 Al 0.498 0.498 0.003 1
Al8 Al 0.870 0.421 0.839 1
Al9 Al 0.421 0.870 0.839 1
Gd1 Gd 0.108 0.108 0.677 1
Gd2 Gd 0.608 0.608 0.175 1
Al10 Al 0.370 0.370 0.339 1
Er2 Er 0.999 0.999 0.004 1
Er3 Er 0.389 0.389 0.833 1
Al11 Al 0.127 0.127 0.169 1
Al12 Al 0.499 0.998 0.505 1
Gd3 Gd 0.889 0.889 0.333 1
Al13 Al 0.577 0.127 0.169 1
Al14 Al 0.870 0.870 0.839 1
Al15 Al 0.370 0.920 0.339 1
Al16 Al 0.626 0.077 0.670 1
Al17 Al 0.920 0.370 0.339 1
Al18 Al 0.626 0.626 0.670 1
```

=====

Calculated relative energies: arrangement w 0; arrangement x 10, given in meV per atom

=====

Arrangement w

Density functional theory data (GGA-PBEsol) for a relaxed structure of AlHF2.

CIF file:
```
data_AlHF2
_chemical_formula_sum 'Al2 H2 F4'
_cell_length_a 5.242
_cell_length_b 5.725
_cell_length_c 5.242
_cell_angle_alpha 62.75
_cell_angle_beta 90.00
_cell_angle_gamma 117.25
_space_group_name_H-M_alt 'P 1'
_space_group_IT_number 1
loop_
_space_group_symop_operation_xyz
'x,y,z'
loop_
_atom_site_label
_atom_site_type_symbol
_atom_site_fract_x
_atom_site_fract_y
_atom_site_fract_z
_atom_site_occupancy
H1 H 0.250 0.500 0.250 1
F1 F 0.375 0.250 0.875 1
Al1 Al 0.000 0.000 0.000 1
F2 F 0.875 0.750 0.375 1
Al2 Al 0.750 0.500 0.750 1
F3 F 0.875 0.250 0.875 1
H2 H 0.500 0.000 0.500 1
F4 F 0.875 0.750 0.875 1
```

=====

Arrangement x

Density functional theory data (GGA-PBEsol) for a relaxed structure of AlHF2.

CIF file:
```
data_AlHF2
_chemical_formula_sum 'Al1 H1 F2'
_cell_length_a 2.669
_cell_length_b 2.669
_cell_length_c 5.821
_cell_angle_alpha 76.75
_cell_angle_beta 76.75
_cell_angle_gamma 60.00
_space_group_name_H-M_alt 'P 1'
_space_group_IT_number 1
loop_
_space_group_symop_operation_xyz
'x,y,z'
loop_
_atom_site_label
_atom_site_type_symbol
_atom_site_fract_x
_atom_site_fract_y
_atom_site_fract_z
_atom_site_occupancy
F1 F 0.889 0.889 0.333 1
H1 H 0.500 0.500 0.500 1
Al1 Al 0.000 0.000 0.000 1
F2 F 0.111 0.111 0.667 1
```

=====

Calculated relative energies: arrangement w 0; arrangement x 281, given in meV per atom

=====

Arrangement w

Density functional theory data (GGA-PBEsol) for a relaxed structure of Na3Al2P2O8F3.

CIF file:
```
data_Na3Al2P2O8F3
_chemical_formula_sum 'Na6 Al4 P4 O16 F6'
_cell_length_a 6.227
_cell_length_b 6.228
_cell_length_c 10.364
_cell_angle_alpha 90.00
_cell_angle_beta 90.00
_cell_angle_gamma 90.07
_space_group_name_H-M_alt 'P 1'
_space_group_IT_number 1
loop_
_space_group_symop_operation_xyz
'x,y,z'
loop_
_atom_site_label
_atom_site_type_symbol
_atom_site_fract_x
_atom_site_fract_y
_atom_site_fract_z
_atom_site_occupancy
O1 O 0.999 0.699 0.664 1
O2 O 0.485 0.803 0.842 1
Al1 Al 0.503 0.507 0.180 1
O3 O 0.697 0.991 0.664 1
Na1 Na 0.657 0.250 0.500 1
F1 F 0.011 0.013 0.144 1
O4 O 0.197 0.491 0.836 1
O5 O 0.197 0.491 0.164 1
O6 O 0.985 0.303 0.658 1
Al2 Al 0.003 0.006 0.320 1
F2 F 0.511 0.514 0.356 1
Na2 Na 0.757 0.178 0.000 1
F3 F 0.990 0.992 0.500 1
O7 O 0.985 0.303 0.342 1
O8 O 0.801 0.499 0.158 1
O9 O 0.301 0.999 0.658 1
Na3 Na 0.232 0.221 0.000 1
F4 F 0.011 0.013 0.856 1
O10 O 0.801 0.499 0.842 1
P1 P 0.494 0.997 0.750 1
Na4 Na 0.155 0.749 0.000 1
Al3 Al 0.003 0.006 0.680 1
F5 F 0.490 0.492 0.000 1
Na5 Na 0.731 0.721 0.500 1
O11 O 0.301 0.999 0.342 1
Al4 Al 0.503 0.507 0.820 1
F6 F 0.511 0.514 0.644 1
P2 P 0.494 0.997 0.250 1
P3 P 0.994 0.496 0.750 1
P4 P 0.994 0.496 0.250 1
Na6 Na 0.257 0.678 0.500 1
O12 O 0.499 0.199 0.164 1
O13 O 0.697 0.991 0.336 1
O14 O 0.485 0.803 0.158 1
O15 O 0.999 0.699 0.336 1
O16 O 0.499 0.199 0.836 1
```

=====

Arrangement x

Density functional theory data (GGA-PBEsol) for a relaxed structure of Na3Al2P2O8F3.

CIF file:
```
data_Na3Al2P2O8F3
_chemical_formula_sum 'Na6 Al4 P4 O16 F6'
_cell_length_a 6.818
_cell_length_b 6.818
_cell_length_c 8.787
_cell_angle_alpha 90.00
_cell_angle_beta 90.00
_cell_angle_gamma 99.59
_space_group_name_H-M_alt 'P 1'
_space_group_IT_number 1
loop_
_space_group_symop_operation_xyz
'x,y,z'
loop_
_atom_site_label
_atom_site_type_symbol
_atom_site_fract_x
_atom_site_fract_y
_atom_site_fract_z
_atom_site_occupancy
Na1 Na 0.226 0.226 0.280 1
Na2 Na 0.525 0.525 0.012 1
O1 O 0.436 0.755 0.353 1
O2 O 0.239 0.554 0.153 1
O3 O 0.070 0.739 0.648 1
O4 O 0.245 0.564 0.853 1
O5 O 0.737 0.060 0.344 1
Na3 Na 0.774 0.774 0.780 1
F1 F 0.601 0.890 0.994 1
F2 F 0.399 0.110 0.494 1
O6 O 0.930 0.261 0.148 1
O7 O 0.446 0.761 0.653 1
Na4 Na 0.475 0.475 0.512 1
O8 O 0.060 0.737 0.344 1
F3 F 0.890 0.601 0.994 1
O9 O 0.263 0.940 0.844 1
P1 P 0.256 0.748 0.750 1
Al1 Al 0.575 0.933 0.496 1
O10 O 0.940 0.263 0.844 1
F4 F 0.753 0.753 0.503 1
Al2 Al 0.933 0.575 0.496 1
O11 O 0.564 0.245 0.853 1
Al3 Al 0.425 0.067 0.996 1
Na5 Na 0.874 0.874 0.155 1
O12 O 0.761 0.446 0.653 1
O13 O 0.755 0.436 0.353 1
P2 P 0.744 0.252 0.250 1
F5 F 0.110 0.399 0.494 1
Na6 Na 0.126 0.126 0.655 1
O14 O 0.261 0.930 0.148 1
O15 O 0.739 0.070 0.648 1
P3 P 0.252 0.744 0.250 1
F6 F 0.247 0.247 0.003 1
O16 O 0.554 0.239 0.153 1
P4 P 0.748 0.256 0.750 1
Al4 Al 0.067 0.425 0.996 1
```

=====

Calculated relative energies: arrangement w 6; arrangement x 0, given in meV per atom